No. 1
Crystalline ZrTeBr at its relaxed geometry. Source: Alexandria via LeMat-Bulk, functional PBE.

Cell and atoms, written as CIF:
```
data_ZrTeBr
_space_group_name_H-M_alt 'P 1'
_space_group_IT_number 1
_space_group_name_Hall 'P 1'
_cell_length_a 4.838
_cell_length_b 4.838
_cell_length_c 3.648
_cell_angle_alpha 90.00
_cell_angle_beta 90.00
_cell_angle_gamma 120.00
loop_
_atom_site_label
_atom_site_type_symbol
_atom_site_fract_x
_atom_site_fract_y
_atom_site_fract_z
_atom_site_occupancy
Te1 Te 0.667 0.333 0.334 1
Br1 Br 0.000 0.000 0.834 1
Zr1 Zr 0.333 0.667 0.833 1
```

---

No. 2
Crystalline ZrTeBr at its relaxed geometry. Source: Alexandria via LeMat-Bulk, functional PBE.

Cell and atoms, written as CIF:
```
data_ZrTeBr
_space_group_name_H-M_alt 'P 1'
_space_group_IT_number 1
_space_group_name_Hall 'P 1'
_cell_length_a 3.820
_cell_length_b 10.015
_cell_length_c 10.033
_cell_angle_alpha 93.84
_cell_angle_beta 90.00
_cell_angle_gamma 90.00
loop_
_atom_site_label
_atom_site_type_symbol
_atom_site_fract_x
_atom_site_fract_y
_atom_site_fract_z
_atom_site_occupancy
Zr1 Zr 0.250 0.358 0.851 1
Zr2 Zr 0.750 0.642 0.149 1
Zr3 Zr 0.250 0.858 0.351 1
Zr4 Zr 0.750 0.142 0.649 1
Te1 Te 0.250 0.073 0.845 1
Te2 Te 0.250 0.573 0.345 1
Te3 Te 0.750 0.427 0.655 1
Te4 Te 0.750 0.927 0.155 1
Br1 Br 0.250 0.641 0.939 1
Br2 Br 0.250 0.141 0.439 1
Br3 Br 0.750 0.859 0.561 1
Br4 Br 0.750 0.359 0.061 1
```

---

no.,formation energy without anion corrections (eV/atom)
1,-0.518
2,-1.053